Entry 1:
! Rb3LaRu (PBE-GGA, optimized geometry); values from VASP
! DFT formation energy: 1.56 eV/atom
! SG: R3m
! M_tot: 0.0 μB per cell
&SYSTEM
  ibrav = 0, nat = 5, ntyp = 3
/
ATOMIC_SPECIES
Ru 101.07 Ru.upf
Rb 85.47 Rb.upf
La 138.91 La.upf
CELL_PARAMETERS angstrom
3.701 0.000 6.508
-1.851 3.205 6.508
-1.851 -3.205 6.508
ATOMIC_POSITIONS crystal
Ru 0.949 0.949 0.949
Rb 0.607 0.105 0.607
Rb 0.105 0.607 0.607
Rb 0.607 0.607 0.105
La 0.608 0.608 0.608

---

Entry 2:
! Rb3LaRu (PBE-GGA, optimized geometry); values from VASP
! DFT formation energy: 1.92 eV/atom
! SG: Pm-3m
! M_tot: 6.2 μB per cell
&SYSTEM
  ibrav = 0, nat = 5, ntyp = 3
/
ATOMIC_SPECIES
Ru 101.07 Ru.upf
Rb 85.47 Rb.upf
La 138.91 La.upf
CELL_PARAMETERS angstrom
6.530 0.000 0.000
0.000 6.530 0.000
0.000 0.000 6.530
ATOMIC_POSITIONS crystal
Ru 0.500 0.500 0.500
Rb 0.000 0.500 0.000
Rb 0.000 0.000 0.500
Rb 0.500 0.000 0.000
La 0.000 0.000 0.000

---

Calculated D(E_F) in order - 1.0; 25.8 states/eV/f.u.